(1)
# CoCuSbRh, optimized geometry, DFT PBE
# electronic total energy	-5.75	eV per atom
# density of states at the Fermi level	3.13	states/eV/f.u.
# magnetic moment	0.186	μB per atom
# formation energy (no corrections)	-0.0818	eV/atom
# volume	14.252	Å³/atom
# density	10.11	g/cm3
data_CoCuSbRh
_symmetry_space_group_name_H-M 'F -4 3 m'
_symmetry_Int_Tables_number 216
_symmetry_space_group_name_Hall 'F -4 2 3'
_cell_length_a 6.109
_cell_length_b 6.109
_cell_length_c 6.109
_cell_angle_alpha 90.00
_cell_angle_beta 90.00
_cell_angle_gamma 90.00
loop_
_atom_site_label
_atom_site_fract_x
_atom_site_fract_y
_atom_site_fract_z
_atom_site_occupancy
Co1 0.000 0.000 0.000 1
Cu1 0.250 0.250 0.250 1
Sb1 0.250 0.250 0.750 1
Rh1 0.000 0.000 0.500 1


(2)
# CoCuRh2Se, optimized geometry, DFT PBE
# electronic total energy	-4.94	eV per atom
# density of states at the Fermi level	6.74	states/eV/f.u.
# magnetic moment	0.624	μB per atom
# formation energy (no corrections)	0.9411	eV/atom
# volume	17.639	Å³/atom
# density	7.67	g/cm3
data_CoCuRh2Se
_symmetry_space_group_name_H-M 'P 4/m m m'
_symmetry_Int_Tables_number 123
_symmetry_space_group_name_Hall '-P 4 2'
_cell_length_a 4.508
_cell_length_b 4.508
_cell_length_c 4.340
_cell_angle_alpha 90.00
_cell_angle_beta 90.00
_cell_angle_gamma 90.00
loop_
_atom_site_label
_atom_site_fract_x
_atom_site_fract_y
_atom_site_fract_z
_atom_site_occupancy
Co1 0.000 0.000 0.000 1
Cu1 0.000 0.000 0.500 1
Rh1 0.000 0.500 0.000 1
Se1 0.500 0.500 0.500 1


(3)
# CoCuSiRh, optimized geometry, DFT PBE
# electronic total energy	-6.35	eV per atom
# density of states at the Fermi level	2.64	states/eV/f.u.
# magnetic moment	0.000	μB per atom
# formation energy (no corrections)	-0.3569	eV/atom
# volume	11.953	Å³/atom
# density	8.80	g/cm3
data_CoCuSiRh
_symmetry_space_group_name_H-M 'F -4 3 m'
_symmetry_Int_Tables_number 216
_symmetry_space_group_name_Hall 'F -4 2 3'
_cell_length_a 5.761
_cell_length_b 5.761
_cell_length_c 5.761
_cell_angle_alpha 90.00
_cell_angle_beta 90.00
_cell_angle_gamma 90.00
loop_
_atom_site_label
_atom_site_fract_x
_atom_site_fract_y
_atom_site_fract_z
_atom_site_occupancy
Co1 0.000 0.000 0.000 1
Cu1 0.250 0.250 0.250 1
Si1 0.250 0.250 0.750 1
Rh1 0.000 0.000 0.500 1


(4)
# TaCoCuRh, optimized geometry, DFT PBE
# ΔH_f (0 K)	-0.254	eV per atom
# electronic total energy	-7.86	eV per atom
# density of states at the Fermi level	0.53	states/eV/f.u.
# magnetic moment	0.000	μB per atom
# offset from the most stable computed form	0.027	eV per atom
# volume	13.659	Å³/atom
# density	12.35	g/cm3
data_TaCoCuRh
_symmetry_space_group_name_H-M 'F -4 3 m'
_symmetry_Int_Tables_number 216
_symmetry_space_group_name_Hall 'F -4 2 3'
_cell_length_a 6.024
_cell_length_b 6.024
_cell_length_c 6.024
_cell_angle_alpha 90.00
_cell_angle_beta 90.00
_cell_angle_gamma 90.00
loop_
_atom_site_label
_atom_site_fract_x
_atom_site_fract_y
_atom_site_fract_z
_atom_site_occupancy
Ta1 0.000 0.000 0.000 1
Co1 0.250 0.250 0.750 1
Cu1 0.000 0.000 0.500 1
Rh1 0.250 0.250 0.250 1


(5)
# TaCoCuRh, optimized geometry, DFT PBE
# ΔH_f (0 K)	-0.280	eV per atom
# electronic total energy	-7.88	eV per atom
# density of states at the Fermi level	0.79	states/eV/f.u.
# magnetic moment	0.000	μB per atom
# offset from the most stable computed form	0.000	eV per atom
# volume	13.478	Å³/atom
# density	12.52	g/cm3
data_TaCoCuRh
_symmetry_space_group_name_H-M 'P m m m'
_symmetry_Int_Tables_number 47
_cell_length_a 3.526
_cell_length_b 3.843
_cell_length_c 3.979
_cell_angle_alpha 90.00
_cell_angle_beta 90.00
_cell_angle_gamma 90.00
loop_
_symmetry_equiv_pos_as_xyz
'x,y,z'
'-x,-y,-z'
'-x,-y,z'
'x,y,-z'
'x,-y,-z'
'-x,y,z'
'-x,y,-z'
'x,-y,z'
loop_
_atom_site_label
_atom_site_fract_x
_atom_site_fract_y
_atom_site_fract_z
_atom_site_occupancy
Ta1 0.000 0.000 0.000 1
Co1 0.500 0.500 0.000 1
Cu1 0.000 0.500 0.500 1
Rh1 0.500 0.000 0.500 1


(6)
# Th2CoCuRh, optimized geometry, DFT PBE
# ΔH_f (0 K)	-0.492	eV per atom
# electronic total energy	-7.17	eV per atom
# density of states at the Fermi level	4.47	states/eV/f.u.
# magnetic moment	0.000	μB per atom
# volume	20.301	Å³/atom
# density	11.28	g/cm3
data_Th2CoCuRh
_symmetry_space_group_name_H-M 'P 1 21/m 1'
_symmetry_Int_Tables_number 11
_cell_length_a 7.224
_cell_length_b 3.926
_cell_length_c 7.752
_cell_angle_alpha 90.00
_cell_angle_beta 112.59
_cell_angle_gamma 90.00
loop_
_symmetry_equiv_pos_as_xyz
'x,y,z'
'-x,-y,-z'
'-x,y+1/2,-z'
'x,-y+1/2,z'
loop_
_atom_site_label
_atom_site_fract_x
_atom_site_fract_y
_atom_site_fract_z
_atom_site_occupancy
Th1 0.035 0.250 0.216 1
Th2 0.376 0.750 0.645 1
Co1 0.099 0.250 0.608 1
Cu1 0.357 0.250 0.946 1
Rh1 0.312 0.750 0.194 1


Q: Look up the density of states at the Fermi level of the fourth one.
A: 0.53 states/eV/f.u.


Q: Which of these has the highest volume?
A: Th2CoCuRh


Copy entry 6 word for word.
# Th2CoCuRh, optimized geometry, DFT PBE
# ΔH_f (0 K)	-0.492	eV per atom
# electronic total energy	-7.17	eV per atom
# density of states at the Fermi level	4.47	states/eV/f.u.
# magnetic moment	0.000	μB per atom
# volume	20.301	Å³/atom
# density	11.28	g/cm3
data_Th2CoCuRh
_symmetry_space_group_name_H-M 'P 1 21/m 1'
_symmetry_Int_Tables_number 11
_cell_length_a 7.224
_cell_length_b 3.926
_cell_length_c 7.752
_cell_angle_alpha 90.00
_cell_angle_beta 112.59
_cell_angle_gamma 90.00
loop_
_symmetry_equiv_pos_as_xyz
'x,y,z'
'-x,-y,-z'
'-x,y+1/2,-z'
'x,-y+1/2,z'
loop_
_atom_site_label
_atom_site_fract_x
_atom_site_fract_y
_atom_site_fract_z
_atom_site_occupancy
Th1 0.035 0.250 0.216 1
Th2 0.376 0.750 0.645 1
Co1 0.099 0.250 0.608 1
Cu1 0.357 0.250 0.946 1
Rh1 0.312 0.750 0.194 1